Entry 1:
Below is TlSe after structural relaxation, with properties calculated at the PBE-GGA level.

Geometry as POSCAR:
```
TlSe
1.0
10.3254 0.0000 0.0000
-5.1627 8.9421 0.0000
0.0000 0.0000 4.1382
Tl Se
6 6
direct
0.8732 0.3327 0.2500 Tl
0.5405 0.8732 0.7500 Tl
0.6673 0.5405 0.2500 Tl
0.1268 0.6673 0.7500 Tl
0.4595 0.1268 0.2500 Tl
0.3327 0.4595 0.7500 Tl
0.7924 0.9948 0.2500 Se
0.7976 0.7924 0.7500 Se
0.0052 0.7976 0.2500 Se
0.2076 0.0052 0.7500 Se
0.2024 0.2076 0.2500 Se
0.9948 0.2024 0.7500 Se
```

Output
Its total energy is -2.890 eV/atom. As for the calculated volume: 63.7 Å³/f.u. The value obtained for the size of the total moment is 0.00 μB per formula unit. For the density of states at the Fermi level, the calculation gives 0.511 states/eV per atom. Its uncorrected formation energy is 0.81 kcal/mol of atoms.


Entry 2:
Below is TlSe after structural relaxation, with properties calculated at the PBE-GGA level.

Geometry as POSCAR:
```
TlSe
1.0
-0.0041 2.7157 -3.4403
-3.7148 -1.8199 -1.4322
-3.5564 4.4757 3.5373
Se Tl
2 2
direct
0.0000 0.0000 0.9165 Se
0.5000 0.5000 0.9168 Se
0.5000 0.0000 0.5908 Tl
0.0000 0.5000 0.2426 Tl
```

Output
Its total energy is -3.047 eV/atom. As for the calculated volume: 64.5 Å³/f.u. The value obtained for the size of the total moment is 0.00 μB per formula unit. For the density of states at the Fermi level, the calculation gives 0.233 states/eV per atom. Its uncorrected formation energy is -2.80 kcal/mol of atoms.


Entry 3:
Below is Tl2Se5 after structural relaxation, with properties calculated at the PBE-GGA level.

Geometry as POSCAR:
```
Tl2Se5
1.0
-2.8304 -2.7507 3.1217
2.6742 -6.2306 0.7290
2.5453 0.2490 6.3216
Tl Se
2 5
direct
0.6419 0.6852 0.6852 Tl
0.3581 0.3148 0.3148 Tl
0.0000 0.0000 0.0000 Se
0.7518 0.1376 0.6843 Se
0.2482 0.3157 0.8624 Se
0.2482 0.8624 0.3157 Se
0.7518 0.6843 0.1376 Se
```

Output
Its total energy is -3.332 eV/atom. As for the calculated volume: 205.0 Å³/f.u. The value obtained for the size of the total moment is 0.00 μB per formula unit. Its uncorrected formation energy is -3.86 kcal/mol of atoms.


Entry 4:
Below is TlSe2 after structural relaxation, with properties calculated at the PBE-GGA level.

Geometry as POSCAR:
```
TlSe2
1.0
-0.6769 8.8254 -4.3362
-3.9360 6.7680 -5.9876
1.0866 -7.1210 6.7275
Se Tl
2 1
direct
0.6429 0.6429 0.0000 Se
0.3571 0.3571 0.0000 Se
0.0000 0.0000 0.0000 Tl
```

Output
Its total energy is -2.919 eV/atom. As for the distance to the lowest polymorph of the same formula: 8.524 kcal/mol of atoms. As for the calculated volume: 84.7 Å³/f.u. The value obtained for the size of the total moment is 0.00 μB per formula unit. For the density of states at the Fermi level, the calculation gives 0.878 states/eV per atom. Its uncorrected formation energy is 4.45 kcal/mol of atoms.